Record 1
Here is a geometry-optimized RbTb2Zr2O7 structure from Alexandria via LeMat-Bulk. Energies are from PBE-GGA.

a = 4.341 Å, b = 4.632 Å, c = 9.843 Å
α = 103.61°, β = 102.74°, γ = 90.00°
Fractional coordinates of all 12 atoms:
1 Tb 0.741 0.241 0.482
2 Tb 0.259 0.759 0.518
3 O 0.872 0.364 0.745
4 O 0.500 0.500 0.000
5 O 0.128 0.619 0.255
6 O 0.271 0.270 0.543
7 O 0.729 0.727 0.457
8 O 0.380 0.850 0.761
9 O 0.620 0.090 0.239
10 Zr 0.391 0.420 0.783
11 Zr 0.609 0.637 0.217
12 Rb 0.000 0.023 0.000

Results
size of the total moment: 0.000 μB per atom
V: 15.6 Å³ per atom
formation energy from raw total energies: -68.5 kcal/mol of atoms
DOS(E_F): 1.585 states/eV/f.u.


Record 2
Here is a geometry-optimized U2BiP structure from Alexandria via LeMat-Bulk. Energies are from PBE-GGA.

a = 4.114 Å, b = 4.114 Å, c = 7.452 Å
α = 73.98°, β = 73.98°, γ = 60.00°
Fractional coordinates of all 4 atoms:
1 P 0.000 0.000 0.000
2 U 0.734 0.734 0.798
3 U 0.266 0.266 0.202
4 Bi 0.500 0.500 0.500

Results
calculated formation energy: -0.38 eV per atom
size of the total moment: 1.104 μB per atom
V: 25.9 Å³ per atom
DOS(E_F): 11.325 states/eV/f.u.


Record 3
Here is a geometry-optimized La3Dy2Er6Tm structure from Alexandria via LeMat-Bulk. Energies are from PBE-GGA.

a = 6.193 Å, b = 6.193 Å, c = 11.783 Å
α = 95.02°, β = 95.02°, γ = 120.00°
Fractional coordinates of all 12 atoms:
1 La 0.833 0.167 0.500
2 La 0.500 0.500 0.500
3 La 0.167 0.833 0.500
4 Er 0.414 0.081 0.244
5 Er 0.252 0.252 0.756
6 Er 0.586 0.919 0.756
7 Er 0.748 0.748 0.244
8 Er 0.081 0.414 0.244
9 Er 0.919 0.586 0.756
10 Tm 0.000 0.000 0.000
11 Dy 0.667 0.333 0.000
12 Dy 0.333 0.667 0.000

Results
calculated formation energy: 0.03 eV per atom
size of the total moment: 0.000 μB per atom
V: 32.1 Å³ per atom
DOS(E_F): 16.396 states/eV/f.u.


Record 4
Here is a geometry-optimized CsTlIO6 structure from Alexandria via LeMat-Bulk. Energies are from PBE-GGA.

a = 5.658 Å, b = 5.658 Å, c = 6.668 Å
α = 90.00°, β = 89.99°, γ = 60.00°
Fractional coordinates of all 9 atoms:
1 Tl 0.667 0.667 0.500
2 I 0.333 0.333 0.500
3 Cs 0.000 0.000 0.000
4 O 0.593 0.359 0.669
5 O 0.048 0.593 0.669
6 O 0.359 0.593 0.331
7 O 0.048 0.359 0.331
8 O 0.359 0.048 0.669
9 O 0.593 0.048 0.331

Results
size of the total moment: 0.118 μB per atom
V: 20.5 Å³ per atom
formation energy from raw total energies: -13.5 kcal/mol of atoms
DOS(E_F): 6.082 states/eV/f.u.


Record 5
Here is a geometry-optimized Cs2BaBi2 structure from Alexandria via LeMat-Bulk. Energies are from PBE-GGA.

a = 5.295 Å, b = 5.295 Å, c = 9.384 Å
α = 73.61°, β = 73.61°, γ = 90.00°
Fractional coordinates of all 5 atoms:
1 Cs 0.250 0.750 0.500
2 Cs 0.750 0.250 0.500
3 Ba 0.000 0.000 0.000
4 Bi 0.588 0.588 0.825
5 Bi 0.412 0.412 0.175

Results
calculated formation energy: -0.36 eV per atom
energy above the most stable polymorph in this dataset: 73 meV/atom
size of the total moment: 0.000 μB per atom
V: 48.3 Å³ per atom
DOS(E_F): 2.929 states/eV/f.u.


Record 6
Here is a geometry-optimized La6CdOs2 structure from Alexandria via LeMat-Bulk. Energies are from PBE-GGA.

a = 4.717 Å, b = 7.662 Å, c = 10.350 Å
α = 124.86°, β = 90.00°, γ = 107.93°
Fractional coordinates of all 9 atoms:
1 Os 0.397 0.794 0.231
2 Os 0.603 0.206 0.769
3 La 0.001 0.002 0.816
4 La 0.347 0.694 0.470
5 La 0.270 0.540 0.876
6 La 0.730 0.460 0.124
7 La 0.653 0.306 0.530
8 La 0.999 0.998 0.184
9 Cd 0.000 0.000 0.500

Results
calculated formation energy: -0.10 eV per atom
energy above the most stable polymorph in this dataset: 49 meV/atom
size of the total moment: 0.000 μB per atom
V: 31.6 Å³ per atom
DOS(E_F): 9.759 states/eV/f.u.


Record 7
Here is a geometry-optimized HgAuN3 structure from Alexandria via LeMat-Bulk. Energies are from PBE-GGA.

a = 4.260 Å, b = 4.260 Å, c = 4.260 Å
α = 90.00°, β = 90.00°, γ = 90.00°
Fractional coordinates of all 5 atoms:
1 Au 0.500 0.500 0.500
2 N 0.000 0.500 0.000
3 N 0.500 0.000 0.000
4 N 0.000 0.000 0.500
5 Hg 0.000 0.000 0.000

Results
size of the total moment: 0.806 μB per atom
V: 15.5 Å³ per atom
formation energy from raw total energies: 64.6 kcal/mol of atoms
DOS(E_F): 1.353 states/eV/f.u.


> What is the DOS(E_F) in the fourth record?

6.082 states/eV/f.u.


> size of the total moment of number 3 (La3Dy2Er6Tm)?

0.000 μB per atom